Record 1
PBE CaP2HS, relaxed; space-group type = P4/mmm, No. 123; Fermi-level density of states = 3.10 states/eV per cell; size of the total moment = 0.0 μB per cell; energy relative to the lowest polymorph listed for this composition = 0.000 eV/atom
1.0
3.770 0.000 0.000
0.000 3.770 0.000
0.000 0.000 5.815
Ca P H S
1 2 1 1
Cartesian
0.000 0.000 0.000 Ca
0.000 1.885 2.907 P
1.885 0.000 2.907 P
1.885 1.885 2.907 H
1.885 1.885 0.000 S



Record 2
PBE CaPHS2, relaxed; space-group type = P4/mmm, No. 123; Fermi-level density of states = 2.04 states/eV per cell; size of the total moment = 0.0 μB per cell; energy relative to the lowest polymorph listed for this composition = 0.000 eV/atom
1.0
4.885 0.000 0.000
0.000 4.885 0.000
0.000 0.000 3.283
Ca P H S
1 1 1 2
Cartesian
0.000 0.000 0.000 Ca
2.443 2.443 0.000 P
2.443 2.443 1.642 H
0.000 2.443 1.642 S
2.443 0.000 1.642 S



Record 3
PBE CaPHS2, relaxed; space-group type = P4/mmm, No. 123; Fermi-level density of states = 4.02 states/eV per cell; size of the total moment = 1.2 μB per cell; energy relative to the lowest polymorph listed for this composition = 1.135 eV/atom
1.0
5.379 0.000 0.000
0.000 5.379 0.000
0.000 0.000 5.706
Ca P H S
1 1 1 2
Cartesian
0.000 0.000 0.000 Ca
0.000 0.000 2.853 P
2.690 2.690 2.853 H
0.000 2.690 0.000 S
2.690 0.000 0.000 S



Record 4
PBE CaP2HS, relaxed; space-group type = P4/mmm, No. 123; Fermi-level density of states = 5.07 states/eV per cell; size of the total moment = 1.8 μB per cell; energy relative to the lowest polymorph listed for this composition = 1.382 eV/atom
1.0
5.436 0.000 0.000
0.000 5.436 0.000
0.000 0.000 5.248
Ca P H S
1 2 1 1
Cartesian
0.000 0.000 0.000 Ca
0.000 2.718 0.000 P
2.718 0.000 0.000 P
2.718 2.718 2.624 H
0.000 0.000 2.624 S